Record 1
{
  "formula": "Er2Pu3US6",
  "functional": "PBE",
  "state": "relaxed",
  "raw_formation_energy_ev_per_fu": -21.2,
  "magnetic_moment_mub_per_cell": 14.37,
  "lattice": [[-3.825, -0.580, -0.250], [0.149, -3.924, 6.817], [0.532, 8.396, 2.448]],
  "species": ["Er", "Er", "Pu", "Pu", "Pu", "U", "S", "S", "S", "S", "S", "S"],
  "fractional_positions": [[0.836, 0.672, 0.672], [0.164, 0.328, 0.328], [0.500, 0.500, 0.000], [0.834, 0.167, 0.668], [0.166, 0.833, 0.332], [0.500, 0.000, 0.000], [0.333, 0.913, 0.666], [0.669, 0.578, 0.339], [0.667, 0.087, 0.334], [0.001, 0.250, 0.002], [0.999, 0.750, 0.998], [0.331, 0.422, 0.661]]
}

***

Record 2
{
  "formula": "Y3Er2PuS6",
  "functional": "PBE",
  "state": "relaxed",
  "raw_formation_energy_ev_per_fu": -23.6,
  "magnetic_moment_mub_per_cell": 5.90,
  "lattice": [[3.889, 0.000, 0.000], [0.000, 7.834, 0.280], [-1.945, -2.257, 8.211]],
  "species": ["Y", "Y", "Y", "Er", "Er", "Pu", "S", "S", "S", "S", "S", "S"],
  "fractional_positions": [[0.500, 0.500, 0.000], [0.835, 0.164, 0.671], [0.165, 0.836, 0.329], [0.836, 0.672, 0.672], [0.164, 0.328, 0.328], [0.500, 0.000, 0.000], [0.331, 0.912, 0.663], [0.669, 0.580, 0.338], [0.669, 0.088, 0.337], [0.001, 0.253, 0.002], [0.999, 0.747, 0.998], [0.331, 0.420, 0.662]]
}

***

Record 3
{
  "formula": "YEr2PuS4",
  "functional": "PBE",
  "state": "relaxed",
  "raw_formation_energy_ev_per_fu": -15.6,
  "magnetic_moment_mub_per_cell": 5.84,
  "lattice": [[3.886, 0.000, 0.000], [0.000, 6.757, 0.131], [0.000, -2.347, 6.344]],
  "species": ["Y", "Er", "Er", "Pu", "S", "S", "S", "S"],
  "fractional_positions": [[0.000, 0.000, 0.000], [0.500, 0.000, 0.500], [0.000, 0.500, 0.500], [0.500, 0.500, 0.000], [0.500, 0.251, 0.256], [0.500, 0.749, 0.744], [0.000, 0.247, 0.743], [0.000, 0.753, 0.257]]
}

***

Record 4
{
  "formula": "Y3ErPu2S6",
  "functional": "PBE",
  "state": "relaxed",
  "raw_formation_energy_ev_per_fu": -23.3,
  "magnetic_moment_mub_per_cell": 11.49,
  "lattice": [[-5.859, 2.786, 1.969], [-0.008, -5.849, -3.429], [2.270, -2.227, 6.024]],
  "species": ["Y", "Y", "Y", "Er", "Pu", "Pu", "S", "S", "S", "S", "S", "S"],
  "fractional_positions": [[0.168, 0.832, 0.500], [0.832, 0.168, 0.500], [0.500, 0.500, 0.500], [0.000, 0.000, 0.000], [0.333, 0.667, 0.000], [0.667, 0.333, 0.000], [0.917, 0.587, 0.750], [0.754, 0.754, 0.252], [0.083, 0.413, 0.250], [0.587, 0.917, 0.750], [0.246, 0.246, 0.748], [0.413, 0.083, 0.250]]
}

***

Record 5
{
  "formula": "Y2Er3PuS6",
  "functional": "PBE",
  "state": "relaxed",
  "raw_formation_energy_ev_per_fu": -19.1,
  "magnetic_moment_mub_per_cell": 8.15,
  "lattice": [[-1.560, 2.718, 2.270], [2.067, -6.017, 8.627], [6.645, 3.485, -2.906]],
  "species": ["Y", "Y", "Er", "Er", "Er", "Pu", "S", "S", "S", "S", "S", "S"],
  "fractional_positions": [[0.331, 0.650, 0.662], [0.669, 0.350, 0.338], [0.500, 0.500, 0.000], [0.142, 0.904, 0.284], [0.858, 0.096, 0.716], [0.500, 0.000, 0.000], [0.692, 0.104, 0.384], [0.474, 0.241, 0.948], [0.308, 0.896, 0.616], [0.865, 0.489, 0.731], [0.135, 0.511, 0.269], [0.526, 0.759, 0.052]]
}

***

Record 6
{
  "formula": "YErPu2S4",
  "functional": "PBE",
  "state": "relaxed",
  "raw_formation_energy_ev_per_fu": -15.2,
  "magnetic_moment_mub_per_cell": 11.43,
  "lattice": [[-1.727, 3.488, 0.375], [-3.071, -2.128, 5.650], [6.015, 2.805, 1.620]],
  "species": ["Y", "Er", "Pu", "Pu", "S", "S", "S", "S"],
  "fractional_positions": [[0.000, 0.000, 0.000], [0.500, 0.500, 0.000], [0.500, 0.000, 0.500], [0.000, 0.500, 0.500], [0.500, 0.251, 0.246], [0.500, 0.749, 0.754], [0.000, 0.254, 0.756], [0.000, 0.746, 0.244]]
}

***

Record 7
{
  "formula": "Y4ErPu3S8",
  "functional": "PBE",
  "state": "relaxed",
  "raw_formation_energy_ev_per_fu": -30.9,
  "magnetic_moment_mub_per_cell": 17.16,
  "lattice": [[7.833, 0.001, 0.000], [0.001, 7.863, 0.016], [-3.917, -3.913, 5.541]],
  "species": ["Y", "Y", "Y", "Y", "Er", "Pu", "Pu", "Pu", "S", "S", "S", "S", "S", "S", "S", "S"],
  "fractional_positions": [[0.500, 0.000, 0.000], [0.500, 0.000, 0.500], [0.000, 0.000, 0.000], [0.000, 0.000, 0.500], [0.000, 0.500, 0.000], [0.500, 0.500, 0.000], [0.500, 0.500, 0.500], [0.000, 0.500, 0.500], [0.248, 0.750, 0.002], [0.248, 0.750, 0.497], [0.249, 0.248, 0.499], [0.753, 0.750, 0.002], [0.247, 0.250, 0.998], [0.751, 0.752, 0.501], [0.752, 0.250, 0.503], [0.752, 0.250, 0.998]]
}

***

Record 8
{
  "formula": "Y4Er3PuS8",
  "functional": "PBE",
  "state": "relaxed",
  "raw_formation_energy_ev_per_fu": -31.5,
  "magnetic_moment_mub_per_cell": 5.77,
  "lattice": [[-1.166, -7.555, -1.548], [7.139, -0.461, -3.128], [-0.904, 2.675, 7.272]],
  "species": ["Y", "Y", "Y", "Y", "Er", "Er", "Er", "Pu", "S", "S", "S", "S", "S", "S", "S", "S"],
  "fractional_positions": [[0.500, 0.000, 0.000], [0.500, 0.000, 0.500], [0.000, 0.000, 0.000], [0.000, 0.000, 0.500], [0.500, 0.500, 0.000], [0.500, 0.500, 0.500], [0.000, 0.500, 0.500], [0.000, 0.500, 0.000], [0.251, 0.748, 0.997], [0.251, 0.748, 0.502], [0.252, 0.255, 0.504], [0.746, 0.748, 0.997], [0.254, 0.252, 0.003], [0.748, 0.745, 0.496], [0.749, 0.252, 0.498], [0.749, 0.252, 0.003]]
}